A plane-wave DFT calculation with PBE was carried out for a relaxed structure of ScBe2Se.

Structure (CIF):
```
data_ScBe2Se
_cell_length_a 7.0168
_cell_length_b 7.0168
_cell_length_c 7.0168
_cell_angle_alpha 28.23
_cell_angle_beta 28.23
_cell_angle_gamma 28.23
_space_group_name_H-M_alt 'P 1'
_space_group_IT_number 1
_space_group_name_Hall 'P 1'
loop_
_atom_site_label
_atom_site_fract_x
_atom_site_fract_y
_atom_site_fract_z
Sc1 0.2500 0.2500 0.2500
Be1 0.0164 0.0164 0.0164
Be2 0.4836 0.4836 0.4836
Se1 0.7500 0.7500 0.7500
```

Results
As for the energy relative to the elements, uncorrected: 0.180 eV per atom. As for the spin magnetization: 0.00 μB/cell. The total energy is -16.5 eV per formula unit. The density of states at the Fermi level comes out at 2.287 states/eV/f.u.

A plane-wave DFT calculation with PBE was carried out for a relaxed structure of Fe2CuI.

Structure (CIF):
```
data_Fe2CuI
_cell_length_a 3.8002
_cell_length_b 3.8002
_cell_length_c 9.6050
_cell_angle_alpha 78.59
_cell_angle_beta 78.59
_cell_angle_gamma 90.00
_space_group_name_H-M_alt 'P 1'
_space_group_IT_number 1
_space_group_name_Hall 'P 1'
loop_
_atom_site_label
_atom_site_fract_x
_atom_site_fract_y
_atom_site_fract_z
I1 0.0000 0.0000 0.0000
I2 0.7500 0.2500 0.5000
Fe1 0.5900 0.1250 0.2500
Fe2 0.1600 0.6250 0.2500
Fe3 0.3750 0.4100 0.7500
Fe4 0.8750 0.8400 0.7500
Cu1 0.5000 0.5000 0.0000
Cu2 0.2500 0.7500 0.5000
```

Results
As for the energy relative to the elements, uncorrected: 0.799 eV per atom. As for the spin magnetization: 10.36 μB/cell. The total energy is -19.4 eV per formula unit. The density of states at the Fermi level comes out at 3.012 states/eV/f.u.

A plane-wave DFT calculation with PBE was carried out for a relaxed structure of Tb3Sm2Cu3.

Structure (CIF):
```
data_Tb3Sm2Cu3
_cell_length_a 3.5843
_cell_length_b 5.1088
_cell_length_c 11.0479
_cell_angle_alpha 103.37
_cell_angle_beta 99.34
_cell_angle_gamma 90.00
_space_group_name_H-M_alt 'P 1'
_space_group_IT_number 1
_space_group_name_Hall 'P 1'
loop_
_atom_site_label
_atom_site_fract_x
_atom_site_fract_y
_atom_site_fract_z
Tb1 0.3857 0.3857 0.7715
Tb2 0.6143 0.6143 0.2285
Tb3 0.5000 0.0000 0.0000
Sm1 0.2751 0.7751 0.5502
Sm2 0.7249 0.2249 0.4498
Cu1 0.8882 0.8882 0.7764
Cu2 0.0000 0.5000 0.0000
Cu3 0.1118 0.1118 0.2236
```

Results
As for the energy of formation: -0.120 eV per atom. As for the spin magnetization: 0.00 μB/cell. The total energy is -36.6 eV per formula unit. The density of states at the Fermi level comes out at 7.707 states/eV/f.u.

A plane-wave DFT calculation with PBE was carried out for a relaxed structure of LaPuRh.

Structure (CIF):
```
data_LaPuRh
_cell_length_a 7.3900
_cell_length_b 8.8205
_cell_length_c 8.8205
_cell_angle_alpha 66.12
_cell_angle_beta 65.23
_cell_angle_gamma 65.23
_space_group_name_H-M_alt 'P 1'
_space_group_IT_number 1
_space_group_name_Hall 'P 1'
loop_
_atom_site_label
_atom_site_fract_x
_atom_site_fract_y
_atom_site_fract_z
La1 0.1675 0.0428 0.5428
La2 0.7532 0.9572 0.4572
La3 0.3386 0.7500 0.2500
La4 0.3387 0.2500 0.7500
La5 0.7532 0.4571 0.9571
La6 0.1674 0.5429 0.0429
Pu1 0.0042 0.0000 0.0000
Pu2 0.0042 0.5000 0.5000
Pu3 0.7527 0.3750 0.3748
Pu4 0.5025 0.6250 0.6252
Pu5 0.5025 0.1252 0.1250
Pu6 0.7527 0.8748 0.8750
Rh1 0.7551 0.2498 0.7498
Rh2 0.7548 0.7502 0.2502
Rh3 0.0862 0.1669 0.1669
Rh4 0.4200 0.8331 0.8331
Rh5 0.4200 0.3331 0.3331
Rh6 0.0862 0.6669 0.6669
```

Results
As for the energy of formation: -0.431 eV per atom. As for the spin magnetization: 35.67 μB/cell. The total energy is -27.9 eV per formula unit. The density of states at the Fermi level comes out at 6.985 states/eV/f.u.

A plane-wave DFT calculation with PBE was carried out for a relaxed structure of LiDySiHg.

Structure (CIF):
```
data_LiDySiHg
_cell_length_a 4.8977
_cell_length_b 4.8977
_cell_length_c 4.8977
_cell_angle_alpha 60.00
_cell_angle_beta 60.00
_cell_angle_gamma 60.00
_space_group_name_H-M_alt 'P 1'
_space_group_IT_number 1
_space_group_name_Hall 'P 1'
loop_
_atom_site_label
_atom_site_fract_x
_atom_site_fract_y
_atom_site_fract_z
Si1 0.2500 0.2500 0.2500
Li1 0.5000 0.5000 0.5000
Hg1 0.7500 0.7500 0.7500
Dy1 0.0000 0.0000 0.0000
```

Results
As for the energy relative to the elements, uncorrected: -0.393 eV per atom. As for the spin magnetization: 0.00 μB/cell. The total energy is -13.8 eV per formula unit. The density of states at the Fermi level comes out at 1.326 states/eV/f.u.

A plane-wave DFT calculation with PBE was carried out for a relaxed structure of PrB2H6.

Structure (CIF):
```
data_PrB2H6
_cell_length_a 7.2880
_cell_length_b 4.3498
_cell_length_c 4.3498
_cell_angle_alpha 43.29
_cell_angle_beta 55.08
_cell_angle_gamma 55.08
_space_group_name_H-M_alt 'P 1'
_space_group_IT_number 1
_space_group_name_Hall 'P 1'
loop_
_atom_site_label
_atom_site_fract_x
_atom_site_fract_y
_atom_site_fract_z
Pr1 0.0000 0.0000 0.0000
B1 0.5068 0.7778 0.7778
B2 0.4932 0.2222 0.2222
H1 0.1318 0.6330 0.6330
H2 0.6225 0.8826 0.1617
H3 0.6225 0.1617 0.8826
H4 0.8682 0.3670 0.3670
H5 0.3775 0.1174 0.8383
H6 0.3775 0.8383 0.1174
```

Results
As for the spin magnetization: 0.00 μB/cell. The total energy is -35.8 eV per formula unit. The density of states at the Fermi level comes out at 0.607 states/eV/f.u.

A plane-wave DFT calculation with PBE was carried out for a relaxed structure of Li2YHf.

Structure (CIF):
```
data_Li2YHf
_cell_length_a 3.2357
_cell_length_b 5.1811
_cell_length_c 11.6605
_cell_angle_alpha 90.00
_cell_angle_beta 97.36
_cell_angle_gamma 90.00
_space_group_name_H-M_alt 'P 1'
_space_group_IT_number 1
_space_group_name_Hall 'P 1'
loop_
_atom_site_label
_atom_site_fract_x
_atom_site_fract_y
_atom_site_fract_z
Li1 0.2421 0.2500 0.4638
Li2 0.7579 0.7500 0.5362
Li3 0.8577 0.2500 0.6817
Li4 0.1423 0.7500 0.3183
Y1 0.5877 0.2500 0.1886
Y2 0.4123 0.7500 0.8114
Hf1 0.9771 0.2500 0.9471
Hf2 0.0229 0.7500 0.0529
```

Results
As for the energy of formation: 0.113 eV per atom. As for the spin magnetization: 0.00 μB/cell. The total energy is -19.8 eV per formula unit. The density of states at the Fermi level comes out at 2.734 states/eV/f.u.

A plane-wave DFT calculation with PBE was carried out for a relaxed structure of Pm2Sn6Pt.

Structure (CIF):
```
data_Pm2Sn6Pt
_cell_length_a 4.0563
_cell_length_b 8.2635
_cell_length_c 8.2639
_cell_angle_alpha 120.00
_cell_angle_beta 90.00
_cell_angle_gamma 90.00
_space_group_name_H-M_alt 'P 1'
_space_group_IT_number 1
_space_group_name_Hall 'P 1'
loop_
_atom_site_label
_atom_site_fract_x
_atom_site_fract_y
_atom_site_fract_z
Pm1 0.0000 0.3333 0.6666
Pm2 0.0000 0.6667 0.3334
Sn1 0.5000 0.6429 0.0000
Sn2 0.5000 0.3570 0.3570
Sn3 0.5000 0.0000 0.6430
Sn4 0.0000 0.2309 0.0000
Sn5 0.0000 0.7691 0.7691
Sn6 0.0000 0.0000 0.2309
Pt1 0.5000 0.0000 0.0000
```

Results
As for the energy of formation: -0.509 eV per atom. As for the spin magnetization: 0.00 μB/cell. The total energy is -44.1 eV per formula unit. The density of states at the Fermi level comes out at 4.628 states/eV/f.u.

A plane-wave DFT calculation with PBE was carried out for a relaxed structure of Tl2IF.

Structure (CIF):
```
data_Tl2IF
_cell_length_a 8.0592
_cell_length_b 8.0592
_cell_length_c 7.1461
_cell_angle_alpha 55.67
_cell_angle_beta 55.67
_cell_angle_gamma 90.00
_space_group_name_H-M_alt 'P 1'
_space_group_IT_number 1
_space_group_name_Hall 'P 1'
loop_
_atom_site_label
_atom_site_fract_x
_atom_site_fract_y
_atom_site_fract_z
I1 0.0000 0.0000 0.0000
I2 0.7500 0.2500 0.5000
Tl1 0.5390 0.1250 0.2500
Tl2 0.2110 0.6250 0.2500
Tl3 0.3750 0.4610 0.7500
Tl4 0.8750 0.7890 0.7500
F1 0.5000 0.5000 0.0000
F2 0.2500 0.7500 0.5000
```

Results
As for the energy relative to the elements, uncorrected: -1.155 eV per atom. As for the spin magnetization: 0.00 μB/cell. The total energy is -12.8 eV per formula unit. The density of states at the Fermi level comes out at 0.000 states/eV/f.u.

A plane-wave DFT calculation with PBE was carried out for a relaxed structure of Cu8Se6S.

Structure (CIF):
```
data_Cu8Se6S
_cell_length_a 6.4982
_cell_length_b 6.4982
_cell_length_c 6.4982
_cell_angle_alpha 99.52
_cell_angle_beta 99.52
_cell_angle_gamma 99.52
_space_group_name_H-M_alt 'P 1'
_space_group_IT_number 1
_space_group_name_Hall 'P 1'
loop_
_atom_site_label
_atom_site_fract_x
_atom_site_fract_y
_atom_site_fract_z
Cu1 0.7389 0.7389 0.7389
Cu2 0.2611 0.2611 0.2611
Cu3 0.6524 0.7840 0.1088
Cu4 0.7840 0.1088 0.6524
Cu5 0.1088 0.6524 0.7840
Cu6 0.3476 0.2160 0.8912
Cu7 0.2160 0.8912 0.3476
Cu8 0.8912 0.3476 0.2160
Se1 0.7061 0.4216 0.8857
Se2 0.4216 0.8857 0.7061
Se3 0.8857 0.7061 0.4216
Se4 0.2939 0.5784 0.1143
Se5 0.5784 0.1143 0.2939
Se6 0.1143 0.2939 0.5784
S1 0.0000 0.0000 0.0000
```

Results
As for the energy relative to the elements, uncorrected: -0.041 eV per atom. As for the spin magnetization: 0.00 μB/cell. The total energy is -58.4 eV per formula unit. The density of states at the Fermi level comes out at 9.846 states/eV/f.u.

A plane-wave DFT calculation with PBE was carried out for a relaxed structure of YSc2Tl.

Structure (CIF):
```
data_YSc2Tl
_cell_length_a 6.3390
_cell_length_b 6.3390
_cell_length_c 6.3390
_cell_angle_alpha 146.31
_cell_angle_beta 131.62
_cell_angle_gamma 60.25
_space_group_name_H-M_alt 'P 1'
_space_group_IT_number 1
_space_group_name_Hall 'P 1'
loop_
_atom_site_label
_atom_site_fract_x
_atom_site_fract_y
_atom_site_fract_z
Y1 0.7500 0.2500 0.5000
Sc1 0.0244 0.0244 0.0000
Sc2 0.4756 0.4756 0.0000
Tl1 0.2500 0.7500 0.5000
```

Results
As for the energy of formation: -0.170 eV per atom. As for the spin magnetization: 0.00 μB/cell. The total energy is -22.2 eV per formula unit. The density of states at the Fermi level comes out at 3.706 states/eV/f.u.

A plane-wave DFT calculation with PBE was carried out for a relaxed structure of AcCd2SbPd2.

Structure (CIF):
```
data_AcCd2SbPd2
_cell_length_a 5.2622
_cell_length_b 5.2622
_cell_length_c 6.8782
_cell_angle_alpha 112.49
_cell_angle_beta 112.49
_cell_angle_gamma 90.00
_space_group_name_H-M_alt 'P 1'
_space_group_IT_number 1
_space_group_name_Hall 'P 1'
loop_
_atom_site_label
_atom_site_fract_x
_atom_site_fract_y
_atom_site_fract_z
Ac1 0.5000 0.5000 0.0000
Cd1 0.2500 0.7500 0.5000
Cd2 0.7500 0.2500 0.5000
Sb1 0.0000 0.0000 0.0000
Pd1 0.7741 0.7741 0.5482
Pd2 0.2259 0.2259 0.4518
```

Results
As for the energy relative to the elements, uncorrected: -0.401 eV per atom. As for the spin magnetization: 0.00 μB/cell. The total energy is -22.9 eV per formula unit. The density of states at the Fermi level comes out at 2.926 states/eV/f.u.

A plane-wave DFT calculation with PBE was carried out for a relaxed structure of BeAgRu4.

Structure (CIF):
```
data_BeAgRu4
_cell_length_a 5.0806
_cell_length_b 5.0806
_cell_length_c 5.0806
_cell_angle_alpha 60.00
_cell_angle_beta 60.00
_cell_angle_gamma 60.00
_space_group_name_H-M_alt 'P 1'
_space_group_IT_number 1
_space_group_name_Hall 'P 1'
loop_
_atom_site_label
_atom_site_fract_x
_atom_site_fract_y
_atom_site_fract_z
Be1 0.0000 0.0000 0.0000
Ag1 0.7500 0.7500 0.7500
Ru1 0.8757 0.3748 0.3748
Ru2 0.3748 0.3748 0.8757
Ru3 0.3748 0.8757 0.3748
Ru4 0.3748 0.3748 0.3748
```

Results
As for the energy of formation: 0.759 eV per atom. As for the spin magnetization: 1.86 μB/cell. The total energy is -39.1 eV per formula unit. The density of states at the Fermi level comes out at 8.730 states/eV/f.u.

A plane-wave DFT calculation with PBE was carried out for a relaxed structure of Ba2MgH12Rh3.

Structure (CIF):
```
data_Ba2MgH12Rh3
_cell_length_a 6.2196
_cell_length_b 6.2196
_cell_length_c 6.2196
_cell_angle_alpha 64.80
_cell_angle_beta 64.80
_cell_angle_gamma 64.80
_space_group_name_H-M_alt 'P 1'
_space_group_IT_number 1
_space_group_name_Hall 'P 1'
loop_
_atom_site_label
_atom_site_fract_x
_atom_site_fract_y
_atom_site_fract_z
Ba1 0.6201 0.6201 0.6201
Ba2 0.3799 0.3799 0.3799
Mg1 0.0000 0.0000 0.0000
H1 0.3087 0.3087 0.9124
H2 0.8970 0.8970 0.3657
H3 0.3657 0.8970 0.8970
H4 0.9124 0.3087 0.3087
H5 0.8970 0.3657 0.8970
H6 0.3087 0.9124 0.3087
H7 0.6913 0.6913 0.0876
H8 0.1030 0.1030 0.6343
H9 0.6343 0.1030 0.1030
H10 0.0876 0.6913 0.6913
H11 0.1030 0.6343 0.1030
H12 0.6913 0.0876 0.6913
Rh1 0.5000 0.0000 0.0000
Rh2 0.0000 0.5000 0.0000
Rh3 0.0000 0.0000 0.5000
```

Results
As for the spin magnetization: 0.00 μB/cell. The total energy is -74.7 eV per formula unit. The density of states at the Fermi level comes out at 2.419 states/eV/f.u.

A plane-wave DFT calculation with PBE was carried out for a relaxed structure of CsNp3Br10.

Structure (CIF):
```
data_CsNp3Br10
_cell_length_a 10.8350
_cell_length_b 10.8350
_cell_length_c 10.8350
_cell_angle_alpha 60.00
_cell_angle_beta 60.00
_cell_angle_gamma 60.00
_space_group_name_H-M_alt 'P 1'
_space_group_IT_number 1
_space_group_name_Hall 'P 1'
loop_
_atom_site_label
_atom_site_fract_x
_atom_site_fract_y
_atom_site_fract_z
Cs1 0.2500 0.2500 0.2500
Cs2 0.7500 0.7500 0.7500
Np1 0.7386 0.7386 0.2614
Np2 0.7386 0.2614 0.7386
Np3 0.2614 0.7386 0.7386
Np4 0.2614 0.2614 0.7386
Np5 0.7386 0.2614 0.2614
Np6 0.2614 0.7386 0.2614
Br1 0.0000 0.0000 0.3362
Br2 0.0000 0.3362 0.0000
Br3 0.3362 0.0000 0.0000
Br4 0.6638 0.3362 0.0000
Br5 0.3854 0.3854 0.3854
Br6 0.1562 0.6146 0.6146
Br7 0.3854 0.8438 0.3854
Br8 0.6638 0.0000 0.3362
Br9 0.3854 0.3854 0.8438
Br10 0.8438 0.3854 0.3854
Br11 0.6146 0.6146 0.1562
Br12 0.0000 0.0000 0.6638
Br13 0.3362 0.6638 0.0000
Br14 0.0000 0.6638 0.3362
Br15 0.0000 0.3362 0.6638
Br16 0.6638 0.0000 0.0000
Br17 0.6146 0.6146 0.6146
Br18 0.0000 0.6638 0.0000
Br19 0.6146 0.1562 0.6146
Br20 0.3362 0.0000 0.6638
```

Results
As for the energy relative to the elements, uncorrected: -1.347 eV per atom. As for the spin magnetization: 24.00 μB/cell. The total energy is -75.3 eV per formula unit. The density of states at the Fermi level comes out at 29.963 states/eV/f.u.

Values of calculated volume, in order: 17.1 16.6 24.3 25.3 20.8 8.3 24.2 26.7 35.0 17.4 26.2 26.7 15.5 10.4 32.1, all in Å³/atom.